Below is TiMoN2O after structural relaxation, with properties calculated at the GGA+U level.

```
TiMoN2O
1.0
3.9570 0.0000 0.0000
0.0000 3.9570 0.0000
0.0000 0.0000 3.8628
Ti Mo N O
1 1 2 1
Cartesian
0.0000 0.0000 0.0000
1.9785 1.9785 1.9314
0.0000 1.9785 1.9314
1.9785 0.0000 1.9314
1.9785 1.9785 0.0000
```

Computed properties:
- VASP energy: -7.408 eV per atom